(1)
{"formula": "Ti8PdN2", "functional": "PBE", "state": "optimized geometry", "cell": [[-2.7458, -3.6295, 3.0316], [1.5585, -5.6249, -2.8645], [4.6671, -4.2238, 1.6286]], "species": ["Ti", "Ti", "Ti", "Ti", "Ti", "Ti", "Ti", "Ti", "Pd", "N", "N"], "fractional_positions": [[0.6959, 0.1970, 0.1970], [0.2912, 0.8368, 0.3559], [0.8145, 0.6271, 0.6271], [0.7088, 0.1632, 0.6441], [0.7088, 0.6441, 0.1632], [0.1855, 0.3729, 0.3729], [0.3041, 0.8030, 0.8030], [0.2912, 0.3559, 0.8368], [0.0000, 0.0000, 0.0000], [0.6588, 0.7954, 0.7954], [0.3412, 0.2046, 0.2046]], "magmom_total_mub_per_cell": 0.0, "dos_at_fermi_per_ev_atom": 1.18, "final_energy_ev_per_fu": -88.9, "spacegroup": "C2/m", "formation_energy_uncorrected_ev_per_atom": -0.356}

---

(2)
{"formula": "Ti3PdN", "functional": "PBE", "state": "optimized geometry", "cell": [[-2.3076, -20.0172, -0.2804], [1.7945, -8.8029, 0.3814], [-0.5597, 8.6203, 2.4971]], "species": ["Ti", "Ti", "Ti", "Ti", "Ti", "Ti", "Pd", "Pd", "N", "N"], "fractional_positions": [[0.9231, 0.7724, 0.2276], [0.5021, 0.6777, 0.3223], [0.0769, 0.2276, 0.7724], [0.4979, 0.3223, 0.6777], [0.2233, 0.8370, 0.1630], [0.7767, 0.1630, 0.8370], [0.2336, 0.2062, 0.7938], [0.7664, 0.7938, 0.2062], [0.1522, 0.0289, 0.9711], [0.8478, 0.9711, 0.0289]], "magmom_total_mub_per_cell": 0.0, "dos_at_fermi_per_ev_atom": 0.90, "final_energy_ev_per_fu": -40.9, "spacegroup": "C2/m", "formation_energy_uncorrected_ev_per_atom": -0.730}

---

(3)
{"formula": "Ti3PdN", "functional": "PBE", "state": "optimized geometry", "cell": [[4.1494, -0.0003, 0.0013], [-2.0736, 4.8176, -0.0015], [2.0693, 1.5717, 6.9424]], "species": ["Ti", "Ti", "Ti", "Ti", "Ti", "Ti", "N", "N", "Pd", "Pd"], "fractional_positions": [[0.6084, 0.7581, 0.8758], [0.2132, 0.1120, 0.0201], [0.8407, 0.4928, 0.1456], [0.6604, 0.5330, 0.5463], [0.4280, 0.7983, 0.2765], [0.0555, 0.1791, 0.4021], [0.3312, 0.4618, 0.1337], [0.9375, 0.8293, 0.2885], [0.3189, 0.9565, 0.6529], [0.9498, 0.3346, 0.7693]], "magmom_total_mub_per_cell": 0.0, "dos_at_fermi_per_ev_atom": 0.82, "final_energy_ev_per_fu": -42.1, "spacegroup": "C2/m", "formation_energy_uncorrected_ev_per_atom": -0.989}

---

(4)
{"formula": "Ti6PdN4", "functional": "PBE", "state": "optimized geometry", "cell": [[3.0562, 0.0000, 0.0000], [-1.5281, 5.1652, 0.0000], [0.0000, 0.0000, 16.0948]], "species": ["N", "N", "N", "N", "N", "N", "N", "N", "Ti", "Ti", "Ti", "Ti", "Ti", "Ti", "Ti", "Ti", "Ti", "Ti", "Ti", "Ti", "Pd", "Pd"], "fractional_positions": [[0.5937, 0.1874, 0.8794], [0.4063, 0.8126, 0.1206], [0.4063, 0.8126, 0.3794], [0.5937, 0.1874, 0.6206], [0.1376, 0.2752, 0.4606], [0.8624, 0.7248, 0.5394], [0.8624, 0.7248, 0.9606], [0.1376, 0.2752, 0.0394], [0.2213, 0.4425, 0.5773], [0.0349, 0.0698, 0.3538], [0.5000, 0.0000, 0.5000], [0.6402, 0.2805, 0.7500], [0.2213, 0.4425, 0.9227], [0.9651, 0.9302, 0.8538], [0.5000, 0.0000, 0.0000], [0.7787, 0.5575, 0.4227], [0.9651, 0.9302, 0.6462], [0.7787, 0.5575, 0.0773], [0.3598, 0.7195, 0.2500], [0.0349, 0.0698, 0.1462], [0.6629, 0.3258, 0.2500], [0.3371, 0.6742, 0.7500]], "magmom_total_mub_per_cell": 0.0, "dos_at_fermi_per_ev_atom": 0.52, "final_energy_ev_per_fu": -101.4, "spacegroup": "Cmcm", "formation_energy_uncorrected_ev_per_atom": -1.411}

---

(5)
{"formula": "Ti4PdN", "functional": "PBE", "state": "optimized geometry", "cell": [[-3.8717, 4.0573, -0.5131], [-1.1089, -1.7536, -5.4983], [-3.6566, -3.1356, 2.7972]], "species": ["Ti", "Ti", "Ti", "Ti", "Ti", "Ti", "Ti", "Ti", "N", "N", "Pd", "Pd"], "fractional_positions": [[0.8319, 0.3026, 0.9108], [0.6681, 0.8026, 0.9108], [0.8736, 0.0955, 0.3299], [0.3736, 0.4045, 0.6701], [0.6264, 0.5955, 0.3299], [0.1681, 0.6974, 0.0892], [0.3319, 0.1974, 0.0892], [0.1264, 0.9045, 0.6701], [0.0000, 0.0000, 0.0000], [0.5000, 0.5000, 0.0000], [0.0000, 0.5000, 0.5000], [0.5000, 0.0000, 0.5000]], "magmom_total_mub_per_cell": 0.0, "dos_at_fermi_per_ev_atom": 1.18, "final_energy_ev_per_fu": -48.7, "spacegroup": "P2_1/c", "formation_energy_uncorrected_ev_per_atom": -0.608}

---

(6)
{"formula": "TiPdN2", "functional": "PBE", "state": "optimized geometry", "cell": [[4.6883, 0.0000, 0.0000], [0.0000, 4.6883, 0.0000], [2.3441, 2.3441, 4.6569]], "species": ["N", "N", "N", "N", "Pd", "Pd", "Ti", "Ti"], "fractional_positions": [[0.1588, 0.6250, 0.2500], [0.8750, 0.8412, 0.7500], [0.5912, 0.1250, 0.2500], [0.3750, 0.4088, 0.7500], [0.7500, 0.2500, 0.5000], [0.0000, 0.0000, 0.0000], [0.5000, 0.5000, 0.0000], [0.2500, 0.7500, 0.5000]], "magmom_total_mub_per_cell": 0.0, "dos_at_fermi_per_ev_atom": 0.62, "final_energy_ev_per_fu": -31.1, "spacegroup": "I-42d", "e_above_lowest_polymorph_mev_per_atom": 37, "formation_energy_uncorrected_ev_per_atom": -0.331}

---

(7)
{"formula": "Ti3PdN", "functional": "PBE", "state": "optimized geometry", "cell": [[4.3449, 0.0000, 3.0131], [-2.1724, 3.7628, 3.0131], [-2.1724, -3.7628, 3.0131]], "species": ["Pd", "Pd", "Ti", "Ti", "Ti", "Ti", "Ti", "Ti", "N", "N"], "fractional_positions": [[0.5000, 0.5000, 0.5000], [0.0000, 0.0000, 0.0000], [0.7500, 0.0033, 0.4967], [0.2500, 0.9967, 0.5033], [0.5033, 0.2500, 0.9967], [0.0033, 0.4967, 0.7500], [0.4967, 0.7500, 0.0033], [0.9967, 0.5033, 0.2500], [0.2500, 0.2500, 0.2500], [0.7500, 0.7500, 0.7500]], "magmom_total_mub_per_cell": 0.0, "dos_at_fermi_per_ev_atom": 0.80, "final_energy_ev_per_fu": -39.4, "spacegroup": "R-3c", "formation_energy_uncorrected_ev_per_atom": -0.446}

---

(8)
{"formula": "Ti2Pd2N", "functional": "PBE", "state": "optimized geometry", "cell": [[-0.2137, 5.5883, 0.8114], [0.4832, -0.7909, 5.5745], [4.5704, 0.2276, -0.3638]], "species": ["Pd", "Pd", "Pd", "Pd", "N", "N", "Ti", "Ti", "Ti", "Ti"], "fractional_positions": [[0.6731, 0.1731, 0.0000], [0.3269, 0.8269, 0.0000], [0.1731, 0.3269, 0.0000], [0.8269, 0.6731, 0.0000], [0.0000, 0.0000, 0.0000], [0.5000, 0.5000, 0.0000], [0.8368, 0.3368, 0.5000], [0.6632, 0.8368, 0.5000], [0.1632, 0.6632, 0.5000], [0.3368, 0.1632, 0.5000]], "magmom_total_mub_per_cell": 0.0, "dos_at_fermi_per_ev_atom": 0.99, "final_energy_ev_per_fu": -32.9, "spacegroup": "P4/mbm", "e_above_lowest_polymorph_mev_per_atom": 0, "formation_energy_uncorrected_ev_per_atom": 0.329}

---

(9)
{"formula": "TiPd2N", "functional": "PBE", "state": "optimized geometry", "cell": [[4.7839, 0.0000, 0.0000], [0.0000, 4.7839, 0.0000], [2.3920, 2.3920, 5.8903]], "species": ["N", "N", "Pd", "Pd", "Pd", "Pd", "Ti", "Ti"], "fractional_positions": [[0.5000, 0.5000, 0.0000], [0.2500, 0.7500, 0.5000], [0.8750, 0.7740, 0.7500], [0.2260, 0.6250, 0.2500], [0.3750, 0.4760, 0.7500], [0.5240, 0.1250, 0.2500], [0.0000, 0.0000, 0.0000], [0.7500, 0.2500, 0.5000]], "magmom_total_mub_per_cell": 1.6, "dos_at_fermi_per_ev_atom": 0.68, "final_energy_ev_per_fu": -24.8, "spacegroup": "I-42d", "formation_energy_uncorrected_ev_per_atom": 0.463}

---

(10)
{"formula": "TiPdN2", "functional": "PBE", "state": "optimized geometry", "cell": [[-3.6109, 5.0856, -1.1502], [-2.2536, 5.7425, 1.4730], [-0.7934, 6.1885, -1.1392]], "species": ["N", "N", "Pd", "Ti"], "fractional_positions": [[0.1081, 0.1081, 0.1081], [0.8919, 0.8919, 0.8919], [0.0000, 0.0000, 0.0000], [0.5000, 0.5000, 0.5000]], "magmom_total_mub_per_cell": 0.0, "dos_at_fermi_per_ev_atom": 0.69, "final_energy_ev_per_fu": -31.2, "spacegroup": "R-3m", "e_above_lowest_polymorph_mev_per_atom": 0, "formation_energy_uncorrected_ev_per_atom": -0.369}

---

(11)
{"formula": "Ti8Pd2N3", "functional": "PBE", "state": "optimized geometry", "cell": [[-1.3854, -4.2987, -3.2805], [5.3588, 0.3554, -2.7287], [-0.0439, -2.4070, 6.2497]], "species": ["Ti", "Ti", "Ti", "Ti", "Ti", "Ti", "Ti", "Ti", "N", "N", "N", "Pd", "Pd"], "fractional_positions": [[0.6155, 0.6628, 0.8088], [0.0043, 0.3834, 0.7669], [0.9957, 0.6166, 0.2331], [0.3845, 0.3372, 0.1912], [0.8866, 0.0955, 0.1911], [0.1134, 0.9045, 0.8089], [0.6155, 0.1460, 0.8088], [0.3845, 0.8540, 0.1912], [0.0000, 0.7546, 0.0000], [0.0000, 0.2454, 0.0000], [0.5000, 0.0000, 0.0000], [0.6916, 0.7327, 0.4654], [0.3084, 0.2673, 0.5346]], "magmom_total_mub_per_cell": 0.0, "dos_at_fermi_per_ev_atom": 0.66, "final_energy_ev_per_fu": -109.1, "spacegroup": "C2/m", "formation_energy_uncorrected_ev_per_atom": -0.810}

---

(12)
{"formula": "Ti3PdN", "functional": "PBE", "state": "optimized geometry", "cell": [[-3.3851, -0.4748, -3.7885], [1.7169, -4.7116, -0.9435], [-4.9356, -4.8790, 1.5851]], "species": ["N", "N", "Ti", "Ti", "Ti", "Ti", "Ti", "Ti", "Pd", "Pd"], "fractional_positions": [[0.0000, 0.0000, 0.0000], [0.2500, 0.7500, 0.5000], [0.1519, 0.8899, 0.2202], [0.1101, 0.3721, 0.7798], [0.7042, 0.7042, 0.5916], [0.1101, 0.8481, 0.7798], [0.6279, 0.8899, 0.2202], [0.2958, 0.2958, 0.4084], [0.6290, 0.1290, 0.7419], [0.8710, 0.3710, 0.2581]], "magmom_total_mub_per_cell": 0.0, "dos_at_fermi_per_ev_atom": 0.88, "final_energy_ev_per_fu": -38.6, "spacegroup": "I-4m2", "formation_energy_uncorrected_ev_per_atom": -0.269}